VASP calculation (PBE) on a relaxed structure of Mg3FeP.

a = 4.8228 Å, b = 4.8228 Å, c = 4.8228 Å
α = 90.00°, β = 90.00°, γ = 90.00°
Closest atoms and distances in Å follow each position.
Atoms (fractional coordinates):
Mg: 0.0000 0.5000 0.0000  2 Fe 2.41
Mg: 0.5000 0.0000 0.0000  2 Fe 2.41
Mg: 0.0000 0.0000 0.5000  2 Fe 2.41
Fe: 0.0000 0.0000 0.0000  6 Mg 2.41
P: 0.5000 0.5000 0.5000  12 Mg 3.41

Computed properties:
Volume: 112.2 Å³/f.u.
SG: Pm-3m (221)
Calculated formation energy: 749 meV per atom
Crystal system: cubic
Magnetization: 1.93 μB per formula unit